1.
VASP calculation (PBE) on an optimized crystal structure of Ac2PrPN5.

The space group is I4/mcm (No. 140) and the conventional cell measures 7.052, 7.052 and 11.162 Å, with angles of 90.00, 90.00 and 90.00 degrees. The inequivalent atoms are Ac at (0.182, 0.318, 0.000), Pr at (0.000, 0.000, 0.250), P at (0.000, 0.500, 0.250), N at (0.000, 0.000, 0.000) and N at (0.132, 0.368, 0.340).

The calculation puts the density of states at the Fermi level at 20.80 states/eV per cell. For the formation energy without anion corrections, the calculation gives -1.0242 eV/atom.


2.
VASP calculation (PBE) on an optimized crystal structure of AgP4Cl.

The space group is F-43m (No. 216) and the conventional cell measures 8.098, 8.098 and 8.098 Å, with angles of 90.00, 90.00 and 90.00 degrees. The inequivalent atoms are Ag at (0.000, 0.000, 0.000), P at (0.096, 0.096, 0.404) and Cl at (0.250, 0.250, 0.750).

For the formation energy without anion corrections, the calculation gives 0.2149 eV/atom.


3.
VASP calculation (PBE) on an optimized crystal structure of Hf6InMo.

The space group is R-3 (No. 148, hexagonal axes) and the conventional cell measures 8.0676, 8.0676 and 9.1278 Å, with angles of 90.00, 90.00 and 120.00 degrees. The inequivalent atoms are Hf at (0.0182, 0.7781, 0.2254), In at (0.0000, 0.0000, 0.5000) and Mo at (0.0000, 0.0000, 0.0000).

The calculation puts the energy above the lowest structure with this stoichiometry at 0.0 meV/atom. The value obtained for the formation energy is 0.009 eV per atom. The calculation puts the density of states at the Fermi level at 23.62 states/eV per cell.


4.
VASP calculation (PBE) on an optimized crystal structure of Ho5Te2Os.

The space group is Cmcm (No. 63) and the conventional cell measures 5.819, 11.898 and 14.534 Å, with angles of 90.00, 90.00 and 90.00 degrees. The inequivalent atoms are Ho at (0.000, 0.061, 0.124), Ho at (0.000, 0.303, 0.750), Ho at (0.000, 0.370, 0.114), Te at (0.000, 0.189, 0.558) and Os at (0.000, 0.219, 0.250).

The calculation puts the energy above the lowest structure with this stoichiometry at 268.3 meV/atom. The calculation puts the density of states at the Fermi level at 30.24 states/eV per cell. For the formation energy without anion corrections, the calculation gives -0.4608 eV/atom.


5.
VASP calculation (PBE) on an optimized crystal structure of Sr2In3Ge2.

The space group is C2/m (No. 12) and the conventional cell measures 11.411, 4.617 and 7.437 Å, with angles of 90.00, 99.78 and 90.00 degrees. The inequivalent atoms are Sr at (0.124, 0.000, 0.332), In at (0.000, 0.500, 0.000), In at (0.187, 0.000, 0.865) and Ge at (0.089, 0.500, 0.629).

The value obtained for the formation energy is -0.373 eV per atom. The calculation puts the density of states at the Fermi level at 8.21 states/eV per cell.


6.
VASP calculation (PBE) on an optimized crystal structure of Mn2RuRh2.

The space group is P4/mbm (No. 127) and the conventional cell measures 7.099, 7.099 and 2.635 Å, with angles of 90.00, 90.00 and 90.00 degrees. The inequivalent atoms are Mn at (0.170, 0.330, 0.000), Ru at (0.000, 0.000, 0.500) and Rh at (0.129, 0.629, 0.500).

The calculation puts the energy above the lowest structure with this stoichiometry at 61.3 meV/atom. The value obtained for the formation energy is 0.268 eV per atom. The calculation puts the density of states at the Fermi level at 12.56 states/eV per cell.


no.,magnetization (μB/f.u.)
1,0.00
2,0.00
3,0.00
4,0.00
5,0.00
6,0.00